The following is a PBE calculation of a relaxed structure of PbSeIBr2, from Alexandria.

Calculated values
- energy above the lowest structure with this stoichiometry (meV/atom) = 0.0
- ρ (g/cm3) = 4.9
- formation energy without anion corrections (eV per formula unit) = 0.36
- final energy (eV/cell) = -11.7

Lattice parameters (Å, degrees): 5.730 5.730 5.869 90.00 90.00 90.00
Each line ends with the local moment (μB).
Element x y z (fractional)
Br 0.000 0.500 0.000  0.09
Pb 0.000 0.000 0.000  0.00
I 0.500 0.500 0.500  0.67
Se 0.000 0.000 0.500  0.73
Br 0.500 0.000 0.000  0.09



The following is a PBE calculation of a relaxed structure of SnPb3I6Br2, from Alexandria.

Calculated values
- ρ (g/cm3) = 5.3
- formation energy without anion corrections (eV per formula unit) = -7.79
- final energy (eV/cell) = -35.6

Lattice parameters (Å, degrees): 7.200 9.215 9.094 120.44 93.56 90.00
Element x y z (fractional)
Pb 0.500 0.500 0.500
I 0.238 0.665 0.822
I 0.762 0.335 0.178
I 0.242 0.157 0.314
Br 0.262 0.666 0.333
Pb 0.500 0.000 0.500
Sn 0.500 0.000 0.000
I 0.238 0.157 0.822
Pb 0.000 0.500 0.000
I 0.758 0.843 0.686
I 0.762 0.843 0.178
Br 0.738 0.334 0.667



Repeat the second record exactly.
The following is a PBE calculation of a relaxed structure of SnPb3I6Br2, from Alexandria.

Calculated values
- ρ (g/cm3) = 5.3
- formation energy without anion corrections (eV per formula unit) = -7.79
- final energy (eV/cell) = -35.6

Lattice parameters (Å, degrees): 7.200 9.215 9.094 120.44 93.56 90.00
Element x y z (fractional)
Pb 0.500 0.500 0.500
I 0.238 0.665 0.822
I 0.762 0.335 0.178
I 0.242 0.157 0.314
Br 0.262 0.666 0.333
Pb 0.500 0.000 0.500
Sn 0.500 0.000 0.000
I 0.238 0.157 0.822
Pb 0.000 0.500 0.000
I 0.758 0.843 0.686
I 0.762 0.843 0.178
Br 0.738 0.334 0.667